[1]
Compound: LaNbGe2Ru
Source: the Alexandria database
Functional: GGA-PBEsol
Structure: optimized geometry

Calculated values
- Symmetry: P4/mmm, No. 123
- ΔH_f (0 K): 102.4 kJ per mole of atoms
- Crystal system: tetragonal

Cell lengths 4.893, 4.893, 5.254 Å; angles 90.00, 90.00, 90.00 degrees
Atoms (fractional coordinates):
La 0.000 0.000 0.000
Nb 0.000 0.000 0.500
Ge 0.000 0.500 0.500
Ge 0.500 0.000 0.500
Ru 0.500 0.500 0.000

***

[2]
Compound: LaNb2SnGe
Source: the Alexandria database
Functional: GGA-PBEsol
Structure: optimized geometry

Calculated values
- Symmetry: P4/mmm, No. 123
- ΔH_f (0 K): 43.1 kJ per mole of atoms
- Crystal system: tetragonal

Cell lengths 4.823, 4.823, 5.459 Å; angles 90.00, 90.00, 90.00 degrees
Atoms (fractional coordinates):
La 0.000 0.000 0.000
Nb 0.000 0.500 0.500
Nb 0.500 0.000 0.500
Sn 0.500 0.500 0.000
Ge 0.000 0.000 0.500

***

[3]
Compound: SrLaNbGe2
Source: the Alexandria database
Functional: GGA-PBEsol
Structure: optimized geometry

Calculated values
- Symmetry: P4/mmm, No. 123
- ΔH_f (0 K): -0.1 kJ per mole of atoms
- Crystal system: tetragonal

Cell lengths 5.156, 5.156, 5.182 Å; angles 90.00, 90.00, 90.00 degrees
Atoms (fractional coordinates):
Sr 0.000 0.000 0.000
La 0.500 0.500 0.000
Nb 0.500 0.500 0.500
Ge 0.000 0.500 0.500
Ge 0.500 0.000 0.500

***

[4]
Compound: La2NbTlGe
Source: the Alexandria database
Functional: GGA-PBEsol
Structure: optimized geometry

Calculated values
- Symmetry: P4/mmm, No. 123
- ΔH_f (0 K): 67.3 kJ per mole of atoms
- Crystal system: tetragonal

Cell lengths 5.666, 5.666, 5.041 Å; angles 90.00, 90.00, 90.00 degrees
Atoms (fractional coordinates):
La 0.000 0.500 0.000
La 0.500 0.000 0.000
Nb 0.000 0.000 0.500
Tl 0.500 0.500 0.500
Ge 0.500 0.500 0.000

***

[5]
Compound: LaNiGe3
Source: the Alexandria database
Functional: GGA-PBEsol
Structure: optimized geometry

Calculated values
- Symmetry: I4mm, No. 107
- ΔH_f (0 K): -66.7 kJ per mole of atoms
- Crystal system: tetragonal

Cell lengths 5.708, 5.708, 5.708 Å; angles 135.09, 135.09, 65.39 degrees
Atoms (fractional coordinates):
La 0.000 0.000 0.000
Ni 0.661 0.661 0.000
Ge 0.257 0.757 0.500
Ge 0.419 0.419 0.000
Ge 0.757 0.257 0.500

***

[6]
Compound: La5NiGe3
Source: the Alexandria database
Functional: GGA-PBEsol
Structure: optimized geometry

Calculated values
- Symmetry: P6_3/mcm, No. 193
- ΔH_f (0 K): -60.1 kJ per mole of atoms
- Crystal system: hexagonal

Cell lengths 8.935, 8.935, 6.980 Å; angles 90.00, 90.00, 120.00 degrees
Atoms (fractional coordinates):
La 0.000 0.248 0.250
La 0.000 0.752 0.750
La 0.248 0.000 0.250
La 0.248 0.248 0.750
La 0.333 0.667 0.000
La 0.333 0.667 0.500
La 0.667 0.333 0.000
La 0.667 0.333 0.500
La 0.752 0.000 0.750
La 0.752 0.752 0.250
Ni 0.000 0.000 0.000
Ni 0.000 0.000 0.500
Ge 0.000 0.402 0.750
Ge 0.000 0.598 0.250
Ge 0.402 0.000 0.750
Ge 0.402 0.402 0.250
Ge 0.598 0.000 0.250
Ge 0.598 0.598 0.750

***

[7]
Compound: LaNiGe3
Source: the Alexandria database
Functional: GGA-PBEsol
Structure: optimized geometry

Calculated values
- Symmetry: Pm-3m, No. 221
- ΔH_f (0 K): -27.0 kJ per mole of atoms
- Crystal system: cubic

Cell lengths 4.628, 4.628, 4.628 Å; angles 90.00, 90.00, 90.00 degrees
Atoms (fractional coordinates):
La 0.000 0.000 0.000
Ni 0.500 0.500 0.500
Ge 0.000 0.500 0.500
Ge 0.500 0.000 0.500
Ge 0.500 0.500 0.000

***

[8]
Compound: La2Ni2Ge
Source: the Alexandria database
Functional: GGA-PBEsol
Structure: optimized geometry

Calculated values
- Symmetry: P4/mbm, No. 127
- ΔH_f (0 K): -47.1 kJ per mole of atoms
- Crystal system: tetragonal

Cell lengths 7.138, 7.138, 3.911 Å; angles 90.00, 90.00, 90.00 degrees
Atoms (fractional coordinates):
La 0.185 0.315 0.000
La 0.315 0.815 0.000
La 0.685 0.185 0.000
La 0.815 0.685 0.000
Ni 0.122 0.622 0.500
Ni 0.378 0.122 0.500
Ni 0.622 0.878 0.500
Ni 0.878 0.378 0.500
Ge 0.000 0.000 0.500
Ge 0.500 0.500 0.500

***

[9]
Compound: LaNi2Ge2
Source: the Alexandria database
Functional: GGA-PBEsol
Structure: optimized geometry

Calculated values
- Symmetry: I4/mmm, No. 139
- ΔH_f (0 K): -70.4 kJ per mole of atoms
- Crystal system: tetragonal

Cell lengths 5.697, 5.697, 5.697 Å; angles 137.26, 137.26, 62.03 degrees
Atoms (fractional coordinates):
La 0.000 0.000 0.000
Ni 0.250 0.750 0.500
Ni 0.750 0.250 0.500
Ge 0.365 0.365 0.000
Ge 0.635 0.635 0.000

***

[10]
Compound: LaNi9Ge4
Source: the Alexandria database
Functional: GGA-PBEsol
Structure: optimized geometry

Calculated values
- Symmetry: I4/mcm, No. 140
- ΔH_f (0 K): -44.7 kJ per mole of atoms
- Crystal system: tetragonal

Cell lengths 8.050, 8.050, 8.050 Å; angles 121.37, 121.37, 87.64 degrees
Atoms (fractional coordinates):
La 0.250 0.250 0.000
La 0.750 0.750 0.000
Ni 0.000 0.500 0.500
Ni 0.057 0.557 0.252
Ni 0.067 0.795 0.862
Ni 0.195 0.943 0.500
Ni 0.205 0.067 0.272
Ni 0.295 0.567 0.862
Ni 0.305 0.805 0.748
Ni 0.433 0.295 0.728
Ni 0.443 0.695 0.500
Ni 0.500 0.000 0.500
Ni 0.557 0.305 0.500
Ni 0.567 0.705 0.272
Ni 0.695 0.195 0.252
Ni 0.705 0.433 0.138
Ni 0.795 0.933 0.728
Ni 0.805 0.057 0.500
Ni 0.933 0.205 0.138
Ni 0.943 0.443 0.748
Ge 0.052 0.204 0.500
Ge 0.204 0.704 0.152
Ge 0.296 0.448 0.500
Ge 0.448 0.948 0.152
Ge 0.552 0.052 0.848
Ge 0.704 0.552 0.500
Ge 0.796 0.296 0.848
Ge 0.948 0.796 0.500

***

[11]
Compound: La2Ni4Ge3P
Source: the Alexandria database
Functional: GGA-PBEsol
Structure: optimized geometry

Calculated values
- Symmetry: P4mm, No. 99
- ΔH_f (0 K): -79.1 kJ per mole of atoms
- Crystal system: tetragonal

Cell lengths 4.085, 4.085, 9.756 Å; angles 90.00, 90.00, 90.00 degrees
Atoms (fractional coordinates):
La 0.000 0.000 0.000
La 0.500 0.500 0.491
Ni 0.000 0.500 0.235
Ni 0.000 0.500 0.748
Ni 0.500 0.000 0.235
Ni 0.500 0.000 0.748
Ge 0.000 0.000 0.360
Ge 0.000 0.000 0.628
Ge 0.500 0.500 0.866
P 0.500 0.500 0.131

***

[12]
Compound: La2Ge3O9
Source: the Alexandria database
Functional: GGA-PBEsol
Structure: optimized geometry

Calculated values
- Symmetry: P-1, No. 2
- Raw formation energy: -2.43 eV/atom
- Crystal system: triclinic

Cell lengths 5.733, 7.712, 8.784 Å; angles 107.96, 108.33, 91.52 degrees
Atoms (fractional coordinates):
La 0.133 0.200 0.217
La 0.189 0.816 0.415
La 0.811 0.184 0.585
La 0.867 0.800 0.783
Ge 0.238 0.514 0.002
Ge 0.338 0.486 0.660
Ge 0.427 0.073 0.853
Ge 0.573 0.927 0.147
Ge 0.662 0.514 0.340
Ge 0.762 0.486 0.998
O 0.011 0.677 0.047
O 0.120 0.010 0.697
O 0.130 0.519 0.778
O 0.175 0.286 0.502
O 0.290 0.992 0.999
O 0.350 0.536 0.234
O 0.403 0.682 0.618
O 0.422 0.971 0.306
O 0.466 0.327 0.954
O 0.534 0.673 0.046
O 0.578 0.029 0.694
O 0.597 0.318 0.382
O 0.650 0.464 0.766
O 0.710 0.008 0.001
O 0.825 0.714 0.498
O 0.870 0.481 0.222
O 0.880 0.990 0.303
O 0.989 0.323 0.953

***

[13]
Compound: La15Ge9O
Source: the Alexandria database
Functional: GGA-PBEsol
Structure: optimized geometry

Calculated values
- Symmetry: P6_3mc, No. 186
- Raw formation energy: -0.92 eV/atom
- Crystal system: hexagonal

Cell lengths 15.223, 15.223, 6.851 Å; angles 90.00, 90.00, 120.00 degrees
Atoms (fractional coordinates):
La 0.024 0.346 0.000
La 0.024 0.679 0.000
La 0.081 0.161 0.278
La 0.081 0.919 0.278
La 0.161 0.081 0.778
La 0.175 0.588 0.264
La 0.255 0.510 0.716
La 0.255 0.745 0.716
La 0.321 0.346 0.000
La 0.321 0.976 0.000
La 0.346 0.024 0.500
La 0.346 0.321 0.500
La 0.412 0.588 0.264
La 0.412 0.825 0.264
La 0.490 0.745 0.716
La 0.510 0.255 0.216
La 0.588 0.175 0.764
La 0.588 0.412 0.764
La 0.654 0.679 0.000
La 0.654 0.976 0.000
La 0.679 0.024 0.500
La 0.679 0.654 0.500
La 0.745 0.255 0.216
La 0.745 0.490 0.216
La 0.825 0.412 0.764
La 0.839 0.919 0.278
La 0.919 0.081 0.778
La 0.919 0.839 0.778
La 0.976 0.321 0.500
La 0.976 0.654 0.500
Ge 0.064 0.532 0.729
Ge 0.134 0.268 0.709
Ge 0.134 0.866 0.709
Ge 0.198 0.396 0.305
Ge 0.198 0.802 0.305
Ge 0.268 0.134 0.209
Ge 0.396 0.198 0.805
Ge 0.468 0.532 0.729
Ge 0.468 0.936 0.729
Ge 0.532 0.064 0.229
Ge 0.532 0.468 0.229
Ge 0.604 0.802 0.305
Ge 0.732 0.866 0.709
Ge 0.802 0.198 0.805
Ge 0.802 0.604 0.805
Ge 0.866 0.134 0.209
Ge 0.866 0.732 0.209
Ge 0.936 0.468 0.229
O 0.333 0.667 0.495
O 0.667 0.333 0.995

***

[14]
Compound: LaGeP2O
Source: the Alexandria database
Functional: GGA-PBEsol
Structure: optimized geometry

Calculated values
- Symmetry: P4/mmm, No. 123
- Raw formation energy: 0.18 eV/atom
- Crystal system: tetragonal

Cell lengths 5.491, 5.491, 4.125 Å; angles 90.00, 90.00, 90.00 degrees
Atoms (fractional coordinates):
La 0.000 0.000 0.000
Ge 0.500 0.500 0.500
P 0.000 0.500 0.000
P 0.500 0.000 0.000
O 0.000 0.000 0.500

***

[15]
Compound: La3Zn3Ge2SbO14
Source: the Alexandria database
Functional: GGA-PBEsol
Structure: optimized geometry

Calculated values
- Symmetry: P321, No. 150
- Raw formation energy: -2.24 eV/atom
- Crystal system: trigonal

Cell lengths 8.292, 8.292, 5.232 Å; angles 90.00, 90.00, 120.00 degrees
Atoms (fractional coordinates):
La 0.000 0.423 0.000
La 0.423 0.000 0.000
La 0.577 0.577 0.000
Zn 0.000 0.764 0.500
Zn 0.236 0.236 0.500
Zn 0.764 0.000 0.500
Ge 0.333 0.667 0.550
Ge 0.667 0.333 0.450
Sb 0.000 0.000 0.000
O 0.082 0.226 0.220
O 0.143 0.918 0.220
O 0.150 0.680 0.703
O 0.226 0.082 0.780
O 0.320 0.470 0.703
O 0.333 0.667 0.215
O 0.470 0.320 0.297
O 0.530 0.850 0.703
O 0.667 0.333 0.785
O 0.680 0.150 0.297
O 0.774 0.857 0.220
O 0.850 0.530 0.297
O 0.857 0.774 0.780
O 0.918 0.143 0.780

***

[16]
Compound: LaGe3Os
Source: the Alexandria database
Functional: GGA-PBEsol
Structure: optimized geometry

Calculated values
- Symmetry: I4mm, No. 107
- ΔH_f (0 K): -54.5 kJ per mole of atoms
- Crystal system: tetragonal

Cell lengths 5.945, 5.945, 5.945 Å; angles 136.47, 136.47, 63.26 degrees
Atoms (fractional coordinates):
La 0.000 0.000 0.000
Ge 0.239 0.739 0.500
Ge 0.575 0.575 0.000
Ge 0.739 0.239 0.500
Os 0.341 0.341 0.000

***

[17]
Compound: La15Ge9P
Source: the Alexandria database
Functional: GGA-PBEsol
Structure: optimized geometry

Calculated values
- Symmetry: P6_3mc, No. 186
- ΔH_f (0 K): -76.3 kJ per mole of atoms
- Crystal system: hexagonal

Cell lengths 15.543, 15.543, 6.799 Å; angles 90.00, 90.00, 120.00 degrees
Atoms (fractional coordinates):
La 0.019 0.340 0.000
La 0.019 0.679 0.000
La 0.082 0.164 0.272
La 0.082 0.918 0.272
La 0.161 0.581 0.252
La 0.164 0.082 0.772
La 0.248 0.496 0.728
La 0.248 0.752 0.728
La 0.321 0.340 0.000
La 0.321 0.981 0.000
La 0.340 0.019 0.500
La 0.340 0.321 0.500
La 0.419 0.581 0.252
La 0.419 0.839 0.252
La 0.496 0.248 0.228
La 0.504 0.752 0.728
La 0.581 0.161 0.752
La 0.581 0.419 0.752
La 0.660 0.679 0.000
La 0.660 0.981 0.000
La 0.679 0.019 0.500
La 0.679 0.660 0.500
La 0.752 0.248 0.228
La 0.752 0.504 0.228
La 0.836 0.918 0.272
La 0.839 0.419 0.752
La 0.918 0.082 0.772
La 0.918 0.836 0.772
La 0.981 0.321 0.500
La 0.981 0.660 0.500
Ge 0.071 0.535 0.740
Ge 0.130 0.260 0.722
Ge 0.130 0.870 0.722
Ge 0.200 0.400 0.287
Ge 0.200 0.800 0.287
Ge 0.260 0.130 0.222
Ge 0.400 0.200 0.787
Ge 0.465 0.535 0.740
Ge 0.465 0.929 0.740
Ge 0.535 0.071 0.240
Ge 0.535 0.465 0.240
Ge 0.600 0.800 0.287
Ge 0.740 0.870 0.722
Ge 0.800 0.200 0.787
Ge 0.800 0.600 0.787
Ge 0.870 0.130 0.222
Ge 0.870 0.740 0.222
Ge 0.929 0.465 0.240
P 0.333 0.667 0.490
P 0.667 0.333 0.990

***

[18]
Compound: LaGePd3
Source: the Alexandria database
Functional: GGA-PBEsol
Structure: optimized geometry

Calculated values
- Symmetry: Pm-3m, No. 221
- ΔH_f (0 K): -46.9 kJ per mole of atoms
- Crystal system: cubic

Cell lengths 4.682, 4.682, 4.682 Å; angles 90.00, 90.00, 90.00 degrees
Atoms (fractional coordinates):
La 0.000 0.000 0.000
Ge 0.500 0.500 0.500
Pd 0.000 0.500 0.500
Pd 0.500 0.000 0.500
Pd 0.500 0.500 0.000

***

| no. | raw total energy (eV per formula unit) |
| --- | --- |
| 1 | -30.9 |
| 2 | -34.0 |
| 3 | -27.9 |
| 4 | -25.6 |
| 5 | -29.8 |
| 6 | -53.3 |
| 7 | -27.7 |
| 8 | -30.4 |
| 9 | -31.2 |
| 10 | -87.0 |
| 11 | -64.1 |
| 12 | -106.8 |
| 13 | -152.9 |
| 14 | -26.2 |
| 15 | -160.3 |
| 16 | -35.2 |
| 17 | -150.2 |
| 18 | -30.6 |